No. 1
Compound: Cs2NbBr4Cl2
Source: the Alexandria database
Functional: GGA-PBE
Structure: relaxed

Computed properties:
Total magnetic moment in Bohr magnetons per cell: 2.0
Raw total energy in eV per atom: -3.9092
Fermi-level density of states in states/eV per cell: 12.0

a = 7.8700 Å, b = 7.8700 Å, c = 10.7830 Å
α = 90.00°, β = 90.00°, γ = 90.00°
With the nearest neighbours (Å) after each atom.
Space group I4/mmm (No. 139)
One atom of each set of equivalent atoms:
Cs: 0.0000 0.5000 0.2500  8 Br 3.88, 4 Cl 3.94
Nb: 0.0000 0.0000 0.0000  2 Cl 2.42, 4 Br 2.62
Br: 0.2353 0.2353 0.0000  1 Nb 2.62
Cl: 0.0000 0.0000 0.2241  1 Nb 2.42

No. 2
Compound: Cs2NbBrCl6
Source: the Alexandria database
Functional: GGA-PBE
Structure: relaxed

Computed properties:
Energy relative to the lowest polymorph listed for this composition in meV per atom: 0
Total magnetic moment in Bohr magnetons per cell: 0.1
Raw total energy in eV per atom: -3.9605

a = 6.0246 Å, b = 7.4083 Å, c = 9.2549 Å
α = 75.89°, β = 73.96°, γ = 79.69°
With the nearest neighbours (Å) after each atom.
Space group P-1 (No. 2)
One atom of each set of equivalent atoms:
Cs: 0.1137 0.3896 0.2903  7 Cl 3.68-3.94, 2 Br 3.72
Nb: 0.0000 0.0000 0.0000  6 Cl 2.36-2.40
Br: 0.5000 0.5000 0.5000  4 Cs 3.72, 2 Cl 3.88
Cl: 0.0872 0.9134 0.2478  1 Nb 2.40
Cl: 0.2734 0.7446 0.9167  1 Nb 2.40
Cl: 0.2900 0.2037 0.9091  1 Nb 2.36

> total magnetic moment of number 1 (Cs2NbBr4Cl2)?

2.0 Bohr magnetons per cell

> The highest total magnetic moment belongs to which entry?

Cs2NbBr4Cl2